(a)
Compound: AlAu2Cl
Source: the Alexandria database
Functional: GGA-PBE
Structure: optimized geometry

The space group is Cmmm (No. 65) and the conventional cell measures 3.569, 5.433 and 7.892 Å, with angles of 90.00, 90.00 and 90.00 degrees. The inequivalent atoms are Al at (0.000, 0.000, 0.000), Au at (0.000, 0.500, 0.225) and Cl at (0.000, 0.000, 0.500).

Its crystal system is orthorhombic.

***

(b)
Compound: AlAu2Cl
Source: the Alexandria database
Functional: GGA-PBE
Structure: optimized geometry

The space group is R3m (No. 160, hexagonal axes) and the conventional cell measures 3.2954, 3.2954 and 26.8638 Å, with angles of 90.00, 90.00 and 120.00 degrees. The inequivalent atoms are Al at (0.0000, 0.0000, 0.0000), Au at (0.0000, 0.0000, 0.4738), Au at (0.0000, 0.0000, 0.7280) and Cl at (0.0000, 0.0000, 0.2727).

Its crystal system is trigonal.

***

Verdict on stability: (b) comes out on top.

***

(a)
Compound: AlAu2Cl
Source: the Alexandria database
Functional: GGA-PBE
Structure: optimized geometry

The space group is R-3m (No. 166, hexagonal axes) and the conventional cell measures 3.4128, 3.4128 and 22.9028 Å, with angles of 90.00, 90.00 and 120.00 degrees. The inequivalent atoms are Al at (0.0000, 0.0000, 0.0000), Au at (0.0000, 0.0000, 0.2595) and Cl at (0.0000, 0.0000, 0.5000).

Its crystal system is trigonal.

***

(b)
Compound: AlAu2Cl
Source: the Alexandria database
Functional: GGA-PBE
Structure: optimized geometry

The space group is P4/mmm (No. 123) and the conventional cell measures 3.099, 3.099 and 7.591 Å, with angles of 90.00, 90.00 and 90.00 degrees. The inequivalent atoms are Al at (0.000, 0.000, 0.000), Au at (0.500, 0.500, 0.215) and Cl at (0.000, 0.000, 0.500).

Its crystal system is tetragonal.

***

Verdict on stability: (a) comes out on top.

***

(a)
Compound: AlAu2Cl
Source: the Alexandria database
Functional: GGA-PBE
Structure: optimized geometry

The space group is Fm-3m (No. 225) and the conventional cell measures 6.753, 6.753 and 6.753 Å, with angles of 90.00, 90.00 and 90.00 degrees. The inequivalent atoms are Al at (0.000, 0.000, 0.000), Au at (0.250, 0.250, 0.250) and Cl at (0.000, 0.000, 0.500).

Its crystal system is cubic.

***

(b)
Compound: AlAu2Cl
Source: the Alexandria database
Functional: GGA-PBE
Structure: optimized geometry

The space group is Cmm2 (No. 35) and the conventional cell measures 3.292, 5.467 and 9.235 Å, with angles of 90.00, 90.00 and 90.00 degrees. The inequivalent atoms are Al at (0.000, 0.000, 0.000), Au at (0.000, 0.000, 0.553), Au at (0.000, 0.500, 0.800) and Cl at (0.000, 0.500, 0.191).

Its crystal system is orthorhombic.

***

(c)
Compound: AlAu2Cl
Source: the Alexandria database
Functional: GGA-PBE
Structure: optimized geometry

The space group is P4mm (No. 99) and the conventional cell measures 3.060, 3.060 and 8.657 Å, with angles of 90.00, 90.00 and 90.00 degrees. The inequivalent atoms are Al at (0.000, 0.000, 0.000), Au at (0.000, 0.000, 0.422), Au at (0.500, 0.500, 0.188) and Cl at (0.500, 0.500, 0.810).

Its crystal system is tetragonal.

***

Verdict on stability: (b) comes out on top.